No. 1
DFT (GGA-PBE) results for a geometry-optimized Pm3Er5Pb2 structure.

Cell lengths 10.646, 10.646, 10.646 Å; angles 106.10, 84.45, 145.02 degrees
Fractional coordinates of all 20 atoms:
Pm 0.226 0.124 0.350
Pm 0.250 0.250 0.000
Pm 0.274 0.624 0.898
Pm 0.726 0.376 0.102
Pm 0.750 0.750 0.000
Pm 0.774 0.876 0.650
Er 0.162 0.396 0.558
Er 0.250 0.503 0.253
Er 0.250 0.750 0.500
Er 0.250 0.997 0.747
Er 0.338 0.896 0.233
Er 0.662 0.104 0.767
Er 0.750 0.003 0.253
Er 0.750 0.250 0.500
Er 0.750 0.497 0.747
Er 0.838 0.604 0.442
Pb 0.149 0.858 0.007
Pb 0.351 0.358 0.708
Pb 0.649 0.642 0.292
Pb 0.851 0.142 0.993

Calculated values
The crystal system is orthorhombic. The final energy comes out at -4.446 eV per atom. Its formation energy is 0.002 eV per atom. As for the space-group type: Ibam, No. 72.

***

No. 2
DFT (GGA-PBE) results for a geometry-optimized CsTmHg2 structure.

Cell lengths 3.826, 3.826, 8.942 Å; angles 90.00, 90.00, 90.00 degrees
Fractional coordinates of all 4 atoms:
Cs 0.000 0.000 0.000
Tm 0.000 0.000 0.500
Hg 0.500 0.500 0.318
Hg 0.500 0.500 0.682

Calculated values
The crystal system is tetragonal. The final energy comes out at -1.697 eV per atom. Its formation energy is -0.215 eV per atom. As for the space-group type: P4/mmm, No. 123.

***

No. 3
DFT (GGA-PBE) results for a geometry-optimized K2ZrAl2O6 structure.

Cell lengths 6.849, 6.849, 6.849 Å; angles 50.73, 50.73, 50.73 degrees
Fractional coordinates of all 11 atoms:
K 0.202 0.202 0.202
K 0.798 0.798 0.798
Zr 0.000 0.000 0.000
Al 0.403 0.403 0.403
Al 0.597 0.597 0.597
O 0.238 0.238 0.741
O 0.238 0.741 0.238
O 0.259 0.762 0.762
O 0.741 0.238 0.238
O 0.762 0.259 0.762
O 0.762 0.762 0.259

Calculated values
The crystal system is trigonal. The final energy comes out at -6.901 eV per atom. As for the formation energy from raw total energies: -58.56 kcal/mol of atoms. As for the space-group type: R-3m, No. 166.

***

Ordered total magnetic moment results: 0.00, 0.00, 0.00; unit μB per formula unit.